A relaxed BeTlIn crystal, computed with PBEsol.

Output
ΔE_f = 135.9 kJ/mol of formula units
E_tot = -2.735 eV/atom

a b c (Å): 4.2556 4.2556 4.0845
angles (deg): 90.00 90.00 120.00
Closest atoms and distances in Å follow each position.
Space group P3m1 (No. 156)
Unique sites:
Be1 0.0000 0.0000 0.0000  3 In 2.59, 3 Tl 2.77
Tl1 0.6667 0.3333 0.3147  3 Be 2.77
In1 0.3333 0.6667 0.8015  3 Be 2.59